1.
Here is a relaxed TlSn2Te2 crystal from the Alexandria database. Energies are from GGA-PBE.

Cell and atoms, written as CIF:
```
data_TlSn2Te2
_chemical_formula_sum 'Tl2 Sn4 Te4'
_space_group_name_H-M_alt 'C 1 2/m 1'
_space_group_IT_number 12
_cell_length_a 9.867
_cell_length_b 7.215
_cell_length_c 5.367
_cell_angle_alpha 90.00
_cell_angle_beta 122.03
_cell_angle_gamma 90.00
loop_
_space_group_symop_operation_xyz
'x,y,z'
'-x,-y,-z'
'-x,y,-z'
'x,-y,z'
'x+1/2,y+1/2,z'
'-x+1/2,-y+1/2,-z'
'-x+1/2,y+1/2,-z'
'x+1/2,-y+1/2,z'
loop_
_atom_site_label
_atom_site_fract_x
_atom_site_fract_y
_atom_site_fract_z
Tl1 0.000 0.000 0.000
Sn1 0.000 0.280 0.500
Te1 0.225 0.500 0.226
```

The value obtained for the total moment is 0.00 μB/f.u. Its energy above the most stable polymorph in this dataset is 78.4 meV per atom.

2.
Here is a relaxed TlSnTe3 crystal from the Alexandria database. Energies are from GGA-PBE.

Cell and atoms, written as CIF:
```
data_TlSnTe3
_chemical_formula_sum 'Tl1 Sn1 Te3'
_space_group_name_H-M_alt 'P m -3 m'
_space_group_IT_number 221
_space_group_name_Hall '-P 4 2 3'
_cell_length_a 5.733
_cell_length_b 5.733
_cell_length_c 5.733
_cell_angle_alpha 90.00
_cell_angle_beta 90.00
_cell_angle_gamma 90.00
loop_
_atom_site_label
_atom_site_fract_x
_atom_site_fract_y
_atom_site_fract_z
Tl1 0.000 0.000 0.000
Sn1 0.500 0.500 0.500
Te1 0.000 0.000 0.500
```

The value obtained for the total moment is 0.00 μB/f.u. Its energy above the most stable polymorph in this dataset is 633.3 meV per atom.

3.
Here is a relaxed Tl2Sn3Te8 crystal from the Alexandria database. Energies are from GGA-PBE.

Cell and atoms, written as CIF:
```
data_Tl2Sn3Te8
_chemical_formula_sum 'Tl4 Sn6 Te16'
_space_group_name_H-M_alt 'C 1 2/m 1'
_space_group_IT_number 12
_cell_length_a 17.538
_cell_length_b 7.959
_cell_length_c 8.435
_cell_angle_alpha 90.00
_cell_angle_beta 116.13
_cell_angle_gamma 90.00
loop_
_space_group_symop_operation_xyz
'x,y,z'
'-x,-y,-z'
'-x,y,-z'
'x,-y,z'
'x+1/2,y+1/2,z'
'-x+1/2,-y+1/2,-z'
'-x+1/2,y+1/2,-z'
'x+1/2,-y+1/2,z'
loop_
_atom_site_label
_atom_site_fract_x
_atom_site_fract_y
_atom_site_fract_z
Tl1 0.203 0.000 0.223
Sn1 0.000 0.260 0.500
Sn2 0.000 0.500 0.000
Te1 0.113 0.500 0.419
Te2 0.120 0.000 0.509
Te3 0.130 0.326 0.881
```

The value obtained for the total moment is 0.00 μB/f.u.

4.
Here is a relaxed Tl4SnTe3 crystal from the Alexandria database. Energies are from GGA-PBE.

Cell and atoms, written as CIF:
```
data_Tl4SnTe3
_chemical_formula_sum 'Tl16 Sn4 Te12'
_space_group_name_H-M_alt 'C 1 c 1'
_space_group_IT_number 9
_cell_length_a 15.769
_cell_length_b 7.655
_cell_length_c 12.814
_cell_angle_alpha 90.00
_cell_angle_beta 126.86
_cell_angle_gamma 90.00
loop_
_space_group_symop_operation_xyz
'x,y,z'
'x,-y,z+1/2'
'x+1/2,y+1/2,z'
'x+1/2,-y+1/2,z+1/2'
loop_
_atom_site_label
_atom_site_fract_x
_atom_site_fract_y
_atom_site_fract_z
Tl1 0.000 0.165 0.000
Tl2 0.125 0.238 0.375
Tl3 0.213 0.290 0.963
Tl4 0.332 0.219 0.705
Sn1 0.003 0.287 0.542
Te1 0.180 0.480 0.213
Te2 0.328 0.037 0.420
Te3 0.468 0.413 0.207
```

The value obtained for the total moment is 0.00 μB/f.u. Its energy above the most stable polymorph in this dataset is 60.1 meV per atom.

no.,raw total energy (eV per atom),E_form (uncorrected) (eV per atom)
1,-3.40,-0.0639
2,-2.65,0.5063
3,-3.28,-0.0631
4,-3.09,-0.2291